Na2Ge2Bi: optimized geometry, GGA-PBE.

Calculated values
Energy of formation from the pure elements (eV per atom): 0.00
Density of states at the Fermi level (states/eV per atom): 0.473

abc: 8.2079 8.2079 3.5969
angles: 90.00 90.00 90.00
Element x y z (fractional)
Na: 0.1861 0.3139 0.0000
Na: 0.3139 0.8139 0.0000
Na: 0.6861 0.1861 0.0000
Na: 0.8139 0.6861 0.0000
Ge: 0.1098 0.6098 0.5000
Ge: 0.3902 0.1098 0.5000
Ge: 0.6098 0.8902 0.5000
Ge: 0.8902 0.3902 0.5000
Bi: 0.0000 0.0000 0.5000
Bi: 0.5000 0.5000 0.5000

---

YBe3Tc: optimized geometry, GGA-PBE.

Calculated values
Energy of formation from the pure elements (eV per atom): 2.42
Density of states at the Fermi level (states/eV per atom): 2.967

abc: 4.4299 4.4299 4.4299
angles: 90.00 90.00 90.00
Element x y z (fractional)
Y: 0.0000 0.0000 0.0000
Be: 0.0000 0.0000 0.5000
Be: 0.0000 0.5000 0.0000
Be: 0.5000 0.0000 0.0000
Tc: 0.5000 0.5000 0.5000

---

SrCrBr2: optimized geometry, GGA-PBE.

Calculated values
Density of states at the Fermi level (states/eV per atom): 0.497
Uncorrected formation energy (meV/atom): -592.4

abc: 3.8158 4.2246 7.1831
angles: 90.00 90.18 90.00
Element x y z (fractional)
Sr: 0.0000 0.0000 0.0000
Cr: 0.5000 0.0000 0.5000
Br: 0.4979 0.5000 0.7629
Br: 0.5021 0.5000 0.2371

---

TcAg2Ru: optimized geometry, GGA-PBE.

Calculated values
Energy of formation from the pure elements (eV per atom): 0.63
Density of states at the Fermi level (states/eV per atom): 1.001

abc: 3.7386 3.7386 4.5461
angles: 90.00 90.00 90.00
Element x y z (fractional)
Tc: 0.0000 0.0000 0.0000
Ag: 0.0000 0.5000 0.5000
Ag: 0.5000 0.0000 0.5000
Ru: 0.5000 0.5000 0.0000

---

TmMgBiPb: optimized geometry, GGA-PBE.

Calculated values
Energy of formation from the pure elements (eV per atom): -0.20
Density of states at the Fermi level (states/eV per atom): 0.735

abc: 5.3850 5.3850 5.3850
angles: 60.00 60.00 60.00
Element x y z (fractional)
Tm: 0.0000 0.0000 0.0000
Mg: 0.5000 0.5000 0.5000
Bi: 0.2500 0.2500 0.2500
Pb: 0.7500 0.7500 0.7500

---

Nd6Y2HoSc: optimized geometry, GGA-PBE.

Calculated values
Energy of formation from the pure elements (eV per atom): 0.22
Density of states at the Fermi level (states/eV per atom): 1.410

abc: 6.3705 6.3705 8.9731
angles: 99.71 99.71 72.91
Element x y z (fractional)
Nd: 0.0843 0.6502 0.7182
Nd: 0.3435 0.3435 0.0573
Nd: 0.3498 0.9157 0.2818
Nd: 0.6502 0.0843 0.7182
Nd: 0.6565 0.6565 0.9427
Nd: 0.9157 0.3498 0.2818
Y: 0.1316 0.1316 0.6399
Y: 0.8684 0.8684 0.3601
Ho: 0.5000 0.5000 0.5000
Sc: 0.0000 0.0000 0.0000